(1)
Density functional theory data (PBE-GGA) for ZnRuBr2 after structural relaxation.

The structure belongs to space group R3m (No. 160, hexagonal axes); the cell edges are 3.5632, 3.5632 and 24.7522 Å and the angles 90.00°, 90.00° and 120.00°. Symmetry generates all atoms from Zn at (0.0000, 0.0000, 0.0000), Ru at (0.0000, 0.0000, 0.2557), Br at (0.0000, 0.0000, 0.5382) and Br at (0.0000, 0.0000, 0.7329).

The uncorrected formation energy is -0.027 eV/atom.

---

(2)
Density functional theory data (PBE-GGA) for Y2HfTe after structural relaxation.

The structure belongs to space group R-3m (No. 166, hexagonal axes); the cell edges are 3.6773, 3.6773 and 31.0969 Å and the angles 90.00°, 90.00° and 120.00°. Symmetry generates all atoms from Y at (0.0000, 0.0000, 0.0977), Hf at (0.0000, 0.0000, 0.0000) and Te at (0.0000, 0.0000, 0.5000).

The uncorrected formation energy is 0.063 eV/atom.

---

(3)
Density functional theory data (PBE-GGA) for Pr3Ho4Sc after structural relaxation.

The structure belongs to space group Immm (No. 71); the cell edges are 3.495, 11.659 and 12.825 Å and the angles 90.00°, 90.00° and 90.00°. Symmetry generates all atoms from Pr at (0.000, 0.000, 0.000), Pr at (0.000, 0.500, 0.240), Ho at (0.000, 0.242, 0.366) and Sc at (0.000, 0.000, 0.500).

The energy relative to the elements comes out at 0.135 eV/atom.

---

(4)
Density functional theory data (PBE-GGA) for NiOsCl after structural relaxation.

The structure belongs to space group F-43m (No. 216); the cell edges are 5.779, 5.779 and 5.779 Å and the angles 90.00°, 90.00° and 90.00°. Symmetry generates all atoms from Ni at (0.000, 0.000, 0.000), Os at (0.250, 0.250, 0.750) and Cl at (0.000, 0.000, 0.500).

The uncorrected formation energy is 1.140 eV/atom.

---

(5)
Density functional theory data (PBE-GGA) for NbCuOs3 after structural relaxation.

The structure belongs to space group Pm-3m (No. 221); the cell edges are 4.398, 4.398 and 4.398 Å and the angles 90.00°, 90.00° and 90.00°. Symmetry generates all atoms from Nb at (0.000, 0.000, 0.000), Cu at (0.500, 0.500, 0.500) and Os at (0.000, 0.500, 0.500).

The energy relative to the elements comes out at 1.621 eV/atom.

---

(6)
Density functional theory data (PBE-GGA) for CrSiTeN2 after structural relaxation.

The structure belongs to space group P4/mmm (No. 123); the cell edges are 3.769, 3.769 and 5.411 Å and the angles 90.00°, 90.00° and 90.00°. Symmetry generates all atoms from Cr at (0.000, 0.000, 0.000), Si at (0.500, 0.500, 0.500), Te at (0.000, 0.000, 0.500) and N at (0.000, 0.500, 0.000).

The uncorrected formation energy is 0.776 eV/atom.

---

(7)
Density functional theory data (PBE-GGA) for KAsBr2F after structural relaxation.

The structure belongs to space group P4/mmm (No. 123); the cell edges are 5.941, 5.941 and 3.922 Å and the angles 90.00°, 90.00° and 90.00°. Symmetry generates all atoms from K at (0.000, 0.000, 0.000), As at (0.500, 0.500, 0.000), Br at (0.000, 0.500, 0.500) and F at (0.500, 0.500, 0.500).

The uncorrected formation energy is -0.779 eV/atom.

---

(8)
Density functional theory data (PBE-GGA) for SrZr2BiRu after structural relaxation.

The structure belongs to space group P4/mmm (No. 123); the cell edges are 5.396, 5.396 and 5.886 Å and the angles 90.00°, 90.00° and 90.00°. Symmetry generates all atoms from Sr at (0.000, 0.000, 0.000), Zr at (0.000, 0.500, 0.500), Bi at (0.000, 0.000, 0.500) and Ru at (0.500, 0.500, 0.000).

The energy relative to the elements comes out at 1.464 eV/atom.

---

(9)
Density functional theory data (PBE-GGA) for Ta2BeAl after structural relaxation.

The structure belongs to space group Pm (No. 6); the cell edges are 3.338, 3.655 and 5.210 Å and the angles 90.00°, 108.59° and 90.00°. Symmetry generates all atoms from Ta at (0.000, 0.000, 0.000), Ta at (0.323, 0.500, 0.651), Be at (0.739, 0.000, 0.482) and Al at (0.602, 0.500, 0.205).

The energy relative to the elements comes out at -0.177 eV/atom.

---

(10)
Density functional theory data (PBE-GGA) for BaSr3Pd after structural relaxation.

The structure belongs to space group P6_3/mmc (No. 194); the cell edges are 4.9351, 4.9351 and 26.0871 Å and the angles 90.00°, 90.00° and 120.00°. Symmetry generates all atoms from Ba at (0.0000, 0.0000, 0.0000), Sr at (0.0000, 0.0000, 0.2500), Sr at (0.3333, 0.6667, 0.1324) and Pd at (0.3333, 0.6667, 0.2500).

The energy relative to the elements comes out at -0.055 eV/atom.

---

(11)
Density functional theory data (PBE-GGA) for LiGaPO5 after structural relaxation.

The structure belongs to space group P-1 (No. 2); the cell edges are 5.237, 5.329 and 7.197 Å and the angles 106.70°, 105.02° and 99.12°. Symmetry generates all atoms from Li at (0.233, 0.383, 0.234), Ga at (0.500, 0.000, 0.000), Ga at (0.500, 0.000, 0.500), P at (0.180, 0.363, 0.763), O at (0.126, 0.755, 0.369), O at (0.191, 0.671, 0.854), O at (0.251, 0.242, 0.935), O at (0.371, 0.326, 0.632) and O at (0.417, 0.088, 0.255).

The uncorrected formation energy is -1.884 eV/atom.

---

(12)
Density functional theory data (PBE-GGA) for Zr4Cd2N after structural relaxation.

The structure belongs to space group Cmmm (No. 65); the cell edges are 5.059, 20.943 and 3.117 Å and the angles 90.00°, 90.00° and 90.00°. Symmetry generates all atoms from Zr at (0.000, 0.073, 0.000), Zr at (0.000, 0.202, 0.500), Cd at (0.000, 0.341, 0.000) and N at (0.000, 0.000, 0.500).

The uncorrected formation energy is -0.153 eV/atom.

---

(13)
Density functional theory data (PBE-GGA) for Sm2Ho5Tm after structural relaxation.

The structure belongs to space group P2_1/m (No. 11); the cell edges are 5.897, 10.650 and 8.609 Å and the angles 90.00°, 107.25° and 90.00°. Symmetry generates all atoms from Sm at (0.166, 0.106, 0.050), Ho at (0.213, 0.588, 0.370), Ho at (0.247, 0.250, 0.453), Ho at (0.284, 0.584, 0.759) and Tm at (0.443, 0.750, 0.121).

The energy relative to the elements comes out at 0.186 eV/atom.

---

(14)
Density functional theory data (PBE-GGA) for TlCrSiI2 after structural relaxation.

The structure belongs to space group P4/mmm (No. 123); the cell edges are 5.668, 5.668 and 5.550 Å and the angles 90.00°, 90.00° and 90.00°. Symmetry generates all atoms from Tl at (0.000, 0.000, 0.000), Cr at (0.500, 0.500, 0.000), Si at (0.000, 0.000, 0.500) and I at (0.000, 0.500, 0.500).

The uncorrected formation energy is 0.645 eV/atom.

---

(15)
Density functional theory data (PBE-GGA) for Zr2VPt after structural relaxation.

The structure belongs to space group I-42d (No. 122); the cell edges are 4.100, 4.100 and 19.224 Å and the angles 90.00°, 90.00° and 90.00°. Symmetry generates all atoms from Zr at (0.248, 0.250, 0.125), V at (0.000, 0.000, 0.500) and Pt at (0.000, 0.000, 0.000).

The energy relative to the elements comes out at 0.231 eV/atom.

---

(16)
Density functional theory data (PBE-GGA) for LiHgSb3 after structural relaxation.

The structure belongs to space group Pm-3m (No. 221); the cell edges are 5.085, 5.085 and 5.085 Å and the angles 90.00°, 90.00° and 90.00°. Symmetry generates all atoms from Li at (0.000, 0.000, 0.000), Hg at (0.500, 0.500, 0.500) and Sb at (0.000, 0.000, 0.500).

The uncorrected formation energy is 0.303 eV/atom.

---

(17)
Density functional theory data (PBE-GGA) for MnAlSe2N after structural relaxation.

The structure belongs to space group P4/mmm (No. 123); the cell edges are 4.965, 4.965 and 3.472 Å and the angles 90.00°, 90.00° and 90.00°. Symmetry generates all atoms from Mn at (0.000, 0.000, 0.000), Al at (0.500, 0.500, 0.500), Se at (0.000, 0.500, 0.000) and N at (0.000, 0.000, 0.500).

The uncorrected formation energy is 0.113 eV/atom.

---

(18)
Density functional theory data (PBE-GGA) for Rb2CaHoCl6 after structural relaxation.

The structure belongs to space group Pmmn (No. 59, origin choice 2); the cell edges are 7.630, 10.796 and 7.630 Å and the angles 90.00°, 90.00° and 90.00°. Symmetry generates all atoms from Rb at (0.250, 0.000, 0.249), Ca at (0.250, 0.250, 0.748), Ho at (0.250, 0.750, 0.751), Cl at (0.003, 0.750, 0.505), Cl at (0.004, 0.750, 0.999) and Cl at (0.250, 0.503, 0.750).

The uncorrected formation energy is -2.026 eV/atom.

---

(19)
Density functional theory data (PBE-GGA) for LaNi2 after structural relaxation.

The structure belongs to space group Cmcm (No. 63); the cell edges are 3.483, 17.461 and 3.785 Å and the angles 90.00°, 90.00° and 90.00°. Symmetry generates all atoms from La at (0.000, 0.115, 0.250), Ni at (0.000, 0.248, 0.750) and Ni at (0.000, 0.461, 0.250).

The energy relative to the elements comes out at -0.047 eV/atom.

---

(20)
Density functional theory data (PBE-GGA) for Ac2Al2Ga3 after structural relaxation.

The structure belongs to space group Cmcm (No. 63); the cell edges are 4.686, 19.845 and 7.434 Å and the angles 90.00°, 90.00° and 90.00°. Symmetry generates all atoms from Ac at (0.000, 0.052, 0.250), Ac at (0.000, 0.163, 0.750), Al at (0.000, 0.326, 0.572), Ga at (0.000, 0.219, 0.250) and Ga at (0.000, 0.443, 0.078).

The energy relative to the elements comes out at -0.459 eV/atom.

---

Number 1: spin magnetization 0.00 μB/f.u.. Number 2: spin magnetization 1.33 μB/f.u.. Number 3: spin magnetization 0.00 μB/f.u.. Number 4: spin magnetization 0.46 μB/f.u.. Number 5: spin magnetization 0.00 μB/f.u.. Number 6: spin magnetization 0.00 μB/f.u.. Number 7: spin magnetization 0.05 μB/f.u.. Number 8: spin magnetization 0.00 μB/f.u.. Number 9: spin magnetization 0.00 μB/f.u.. Number 10: spin magnetization 0.00 μB/f.u.. Number 11: spin magnetization 1.04 μB/f.u.. Number 12: spin magnetization 0.00 μB/f.u.. Number 13: spin magnetization 0.00 μB/f.u.. Number 14: spin magnetization 5.70 μB/f.u.. Number 15: spin magnetization 2.12 μB/f.u.. Number 16: spin magnetization 0.00 μB/f.u.. Number 17: spin magnetization 1.44 μB/f.u.. Number 18: spin magnetization 0.50 μB/f.u.. Number 19: spin magnetization 0.00 μB/f.u.. Number 20: spin magnetization 0.00 μB/f.u..